Material: Mn2TcCl
Method: DFT, GGA-PBE
State: relaxed

Lattice parameters (Å, degrees): 2.9455 2.9900 7.3259 90.00 90.00 90.00
Closest atoms and distances in Å follow each position.
Atoms (fractional coordinates):
Mn 0.0000 0.0000 0.2192  2 Cl 2.53, 4 Tc 2.64
Mn 0.0000 0.0000 0.7808  2 Cl 2.53, 4 Tc 2.64
Tc 0.5000 0.5000 0.0000  8 Mn 2.64, 2 Tc 2.95
Cl 0.5000 0.0000 0.5000  4 Mn 2.53

The density is 6.3 g/cm3. Its energy above the most stable polymorph in this dataset is 0.000 eV per atom. The size of the total moment is 6.247 μB/cell. The value obtained for the formation energy from raw total energies is 0.34 eV/f.u.

---

Material: CuRe2Os
Method: DFT, GGA-PBE
State: relaxed

Lattice parameters (Å, degrees): 3.7665 3.7665 8.0006 90.00 90.00 90.00
Closest atoms and distances in Å follow each position.
Atoms (fractional coordinates):
Cu 0.0000 0.0000 0.0000  4 Os 2.66, 8 Re 2.75
Cu 0.5000 0.5000 0.5000  4 Os 2.66, 8 Re 2.75
Re 0.0000 0.5000 0.2500  4 Re 2.66, 4 Os 2.75, 4 Cu 2.75
Re 0.0000 0.5000 0.7500  4 Re 2.66, 4 Os 2.75, 4 Cu 2.75
Re 0.5000 0.0000 0.2500  4 Re 2.66, 4 Os 2.75, 4 Cu 2.75
Re 0.5000 0.0000 0.7500  4 Re 2.66, 4 Os 2.75, 4 Cu 2.75
Os 0.0000 0.0000 0.5000  4 Cu 2.66, 8 Re 2.75
Os 0.5000 0.5000 0.0000  4 Cu 2.66, 8 Re 2.75

The density is 18.3 g/cm3. Its energy above the most stable polymorph in this dataset is 0.123 eV per atom. The size of the total moment is 0.000 μB/cell.

---

Material: TbTm2Si2
Method: DFT, GGA-PBE
State: relaxed

Lattice parameters (Å, degrees): 6.4382 6.4382 10.0534 116.23 116.23 39.52
Closest atoms and distances in Å follow each position.
Atoms (fractional coordinates):
Tb 0.2152 0.2152 0.3486  4 Si 2.85-2.94
Tb 0.7848 0.7848 0.6514  4 Si 2.85-2.94
Tm 0.3087 0.3087 0.9143  4 Si 2.89-3.22
Tm 0.4842 0.4842 0.3146  6 Si 3.01-3.12
Tm 0.5158 0.5158 0.6854  6 Si 3.01-3.12
Tm 0.6913 0.6913 0.0857  4 Si 2.89-3.22
Si 0.0388 0.0388 0.9036  1 Si 2.52
Si 0.1132 0.1132 0.5621  1 Si 2.42
Si 0.8868 0.8868 0.4379  1 Si 2.42
Si 0.9612 0.9612 0.0964  1 Si 2.52

The density is 7.8 g/cm3. The size of the total moment is 0.000 μB/cell. The value obtained for the formation energy from raw total energies is -2.81 eV/f.u.

---

Material: Sc3OsRh
Method: DFT, GGA-PBE
State: relaxed

Lattice parameters (Å, degrees): 4.8186 4.8186 4.8186 90.00 90.00 90.00
Closest atoms and distances in Å follow each position.
Atoms (fractional coordinates):
Sc 0.0000 0.0000 0.5000  2 Rh 2.41
Sc 0.0000 0.5000 0.0000  2 Rh 2.41
Sc 0.5000 0.0000 0.0000  2 Rh 2.41
Os 0.5000 0.5000 0.5000  12 Sc 3.41
Rh 0.0000 0.0000 0.0000  6 Sc 2.41

The density is 6.4 g/cm3. Its energy above the most stable polymorph in this dataset is 0.173 eV per atom. The size of the total moment is 0.004 μB/cell.